This record from the Open Quantum Materials Database describes Cd3AgO4 after structural relaxation. The functional is PBE.

Lattice parameters (Å, degrees): 6.648 9.435 3.346 90.00 90.00 90.00
Space group Cmmm (No. 65)
Asymmetric unit:
Cd: 0.000 0.000 0.000 x2
Cd: 0.250 0.250 0.500 x4
Ag: 0.000 0.500 0.000 x2
O: 0.000 0.246 0.000 x4
O: 0.245 0.000 0.500 x4

Final energy = -3.90 eV per atom
Volume = 13.12 A^3/atom